Cs3Mg2PaSe6 (GGA-PBE, optimized geometry); Fermi-level density of states = 0.00 states/eV per cell; crystal system = monoclinic; final energy = -51.7 eV per cell; ΔE_f (raw) = -125.0 kJ per mole of atoms
1.0
-2.5250 2.3736 6.3236
6.0955 -3.8450 -0.2428
3.2182 7.5271 -2.9036
Cs Mg Pa Se
3 2 1 6
Direct
0.1697 0.8303 0.5000
0.8303 0.1697 0.5000
0.5000 0.5000 0.5000
0.3340 0.6660 0.0000
0.6660 0.3340 0.0000
0.0000 0.0000 0.0000
0.9397 0.6096 0.8206
0.7305 0.7305 0.1813
0.0603 0.3904 0.1794
0.6096 0.9397 0.8206
0.2695 0.2695 0.8187
0.3904 0.0603 0.1794